Material: Sc3InIr
Method: DFT, PBE-GGA
State: optimized geometry

Unit cell a=6.7647 b=6.7647 c=6.7647 alpha=90.00 beta=90.00 gamma=90.00
Element x y z (fractional)
Sc 0.5000 0.5000 0.5000
Sc 0.2287 0.2287 0.2287
Sc 0.7713 0.7713 0.2287
Sc 0.7713 0.2287 0.7713
Sc 0.2287 0.7713 0.7713
Sc 0.2287 0.2287 0.7713
Sc 0.7713 0.7713 0.7713
Sc 0.2287 0.7713 0.2287
Sc 0.7713 0.2287 0.2287
In 0.0000 0.5000 0.5000
In 0.5000 0.0000 0.5000
In 0.5000 0.5000 0.0000
Ir 0.5000 0.0000 0.0000
Ir 0.0000 0.5000 0.0000
Ir 0.0000 0.0000 0.5000

- Calculated density: 7.1 Mg/m³
- Distance to the lowest polymorph of the same formula: 0.0 meV/atom
- Calculated volume: 20.637 Å³/atom
- E_form: -543.7 meV/atom
- Fermi-level density of states: 13.0 states/eV/cell
- Space group: Pm-3m (221)

---

Material: AcNd3Sm2
Method: DFT, PBE-GGA
State: optimized geometry

Unit cell a=3.5592 b=6.2775 c=10.5954 alpha=107.23 beta=99.67 gamma=90.00
Element x y z (fractional)
Ac 0.0000 0.0000 0.0000
Nd 0.0000 0.5000 0.0000
Nd 0.8086 0.8086 0.6171
Nd 0.1914 0.1914 0.3829
Sm 0.6392 0.6392 0.2784
Sm 0.3608 0.3608 0.7216

- Calculated density: 7.2 Mg/m³
- Distance to the lowest polymorph of the same formula: 289.4 meV/atom
- Calculated volume: 37.098 Å³/atom
- E_form: 340.5 meV/atom
- Fermi-level density of states: 11.1 states/eV/cell
- Space group: Immm (71)

---

Material: SiTcAs2
Method: DFT, PBE-GGA
State: optimized geometry

Unit cell a=4.8909 b=4.8909 c=4.8909 alpha=138.34 beta=123.67 gamma=72.45
Element x y z (fractional)
As 0.9732 0.9732 0.0000
As 0.5268 0.5268 0.0000
Si 0.7500 0.2500 0.5000
Tc 0.2500 0.7500 0.5000

- E_form (uncorrected): 333 meV/atom
- Calculated density: 7.2 Mg/m³
- Calculated volume: 15.841 Å³/atom
- Fermi-level density of states: 2.8 states/eV/cell
- Space group: Immm (71)

---

Material: LaCo2Cu
Method: DFT, PBE-GGA
State: optimized geometry

Unit cell a=4.1925 b=4.1925 c=5.3413 alpha=66.93 beta=66.93 gamma=59.98
Element x y z (fractional)
Co 0.0695 0.0695 0.7915
Co 0.4305 0.4305 0.7085
Cu 0.7500 0.7500 0.7500
La 0.2500 0.2500 0.2500

- Calculated density: 7.3 Mg/m³
- Calculated volume: 18.124 Å³/atom
- E_form: -52.9 meV/atom
- Fermi-level density of states: 3.8 states/eV/cell
- Space group: R-3m (166)

---

Material: PmInSi2O6
Method: DFT, PBE-GGA
State: optimized geometry

Unit cell a=7.1725 b=7.1725 c=7.2461 alpha=90.37 beta=90.37 gamma=111.70
Element x y z (fractional)
Pm 0.6558 0.3442 0.2500
Pm 0.3442 0.6558 0.7500
In 0.0839 0.9161 0.2500
In 0.9161 0.0839 0.7500
Si 0.4670 0.2252 0.7481
Si 0.7748 0.5330 0.7519
Si 0.5330 0.7748 0.2519
Si 0.2252 0.4670 0.2481
O 0.9915 0.4234 0.2476
O 0.5766 0.0085 0.2524
O 0.0085 0.5766 0.7524
O 0.4234 0.9915 0.7476
O 0.3013 0.2817 0.2468
O 0.7183 0.6987 0.2532
O 0.6987 0.7183 0.7532
O 0.2817 0.3013 0.7468
O 0.3597 0.6405 0.4140
O 0.3595 0.6403 0.0860
O 0.6403 0.3595 0.5860
O 0.6405 0.3597 0.9140

- E_form (uncorrected): -2564 meV/atom
- Calculated density: 4.0 Mg/m³
- Calculated volume: 17.317 Å³/atom
- Fermi-level density of states: 0.0 states/eV/cell
- Space group: C2/c (15)

---

Material: Li4ZnPd
Method: DFT, PBE-GGA
State: optimized geometry

Unit cell a=4.9145 b=4.9145 c=4.9145 alpha=60.00 beta=60.00 gamma=60.00
Element x y z (fractional)
Zn 0.2500 0.2500 0.2500
Pd 0.0000 0.0000 0.0000
Li 0.6258 0.6258 0.1226
Li 0.6258 0.1226 0.6258
Li 0.6258 0.6258 0.6258
Li 0.1226 0.6258 0.6258

- Calculated density: 3.9 Mg/m³
- Distance to the lowest polymorph of the same formula: 173.9 meV/atom
- Calculated volume: 13.988 Å³/atom
- E_form: -101.4 meV/atom
- Fermi-level density of states: 1.5 states/eV/cell
- Space group: F-43m (216)

---

Material: Nd2Ho3Sc8
Method: DFT, PBE-GGA
State: optimized geometry

Unit cell a=6.2187 b=6.2187 c=11.8553 alpha=74.79 beta=74.79 gamma=60.00
Element x y z (fractional)
Nd 0.6393 0.6393 0.0821
Nd 0.3607 0.3607 0.9179
Ho 0.0000 0.0000 0.0000
Ho 0.8152 0.8152 0.5543
Ho 0.1848 0.1848 0.4457
Sc 0.7288 0.7288 0.8136
Sc 0.2712 0.2712 0.1864
Sc 0.2250 0.7294 0.3163
Sc 0.7294 0.2250 0.3163
Sc 0.7294 0.7294 0.3163
Sc 0.2706 0.7750 0.6837
Sc 0.7750 0.2706 0.6837
Sc 0.2706 0.2706 0.6837

- Calculated density: 5.0 Mg/m³
- Calculated volume: 29.107 Å³/atom
- E_form: 268.0 meV/atom
- Fermi-level density of states: 23.4 states/eV/cell
- Space group: R-3m (166)

---

Material: LaTlAgGe
Method: DFT, PBE-GGA
State: optimized geometry

Unit cell a=5.1925 b=5.1925 c=5.1925 alpha=60.00 beta=60.00 gamma=60.00
Element x y z (fractional)
Tl 0.2500 0.2500 0.2500
Ge 0.0000 0.0000 0.0000
Ag 0.5000 0.5000 0.5000
La 0.7500 0.7500 0.7500

- Calculated density: 8.8 Mg/m³
- Calculated volume: 24.749 Å³/atom
- E_form: -241.4 meV/atom
- Fermi-level density of states: 2.7 states/eV/cell
- Space group: F-43m (216)

---

Material: Be2ZnPdSe
Method: DFT, PBE-GGA
State: optimized geometry

Unit cell a=4.1204 b=5.0576 c=4.1204 alpha=90.00 beta=90.00 gamma=90.00
Element x y z (fractional)
Be 0.0000 0.0000 0.5000
Be 0.5000 0.0000 0.0000
Zn 0.0000 0.0000 0.0000
Se 0.0000 0.5000 0.0000
Pd 0.5000 0.5000 0.5000

- E_form (uncorrected): 823 meV/atom
- Calculated density: 5.2 Mg/m³
- Calculated volume: 17.173 Å³/atom
- Fermi-level density of states: 3.1 states/eV/cell
- Space group: P4/mmm (123)

---

Material: V5TcMo2
Method: DFT, PBE-GGA
State: optimized geometry

Unit cell a=4.3978 b=5.1292 c=10.1027 alpha=90.00 beta=90.00 gamma=90.00
Element x y z (fractional)
V 0.5000 0.3358 0.1139
V 0.5000 0.6642 0.8861
V 0.5000 0.8358 0.3861
V 0.5000 0.1642 0.6139
V 0.0000 0.8554 0.7468
V 0.0000 0.1446 0.2532
V 0.0000 0.3554 0.7532
V 0.0000 0.6446 0.2468
V 0.0000 0.5000 0.5000
V 0.0000 0.0000 0.0000
Tc 0.0000 0.0000 0.5000
Tc 0.0000 0.5000 0.0000
Mo 0.5000 0.3358 0.3705
Mo 0.5000 0.6642 0.6295
Mo 0.5000 0.1642 0.8705
Mo 0.5000 0.8358 0.1295

- Calculated density: 7.9 Mg/m³
- Calculated volume: 14.243 Å³/atom
- E_form: -104.2 meV/atom
- Fermi-level density of states: 14.0 states/eV/cell
- Space group: Pbam (55)

---

Material: Pm3MgS6
Method: DFT, PBE-GGA
State: optimized geometry

Unit cell a=6.7570 b=7.2785 c=9.7121 alpha=90.00 beta=94.42 gamma=90.00
Element x y z (fractional)
Pm 0.5420 0.9008 0.7363
Pm 0.5000 0.5000 0.0000
Pm 0.4580 0.0992 0.2637
Pm 0.0420 0.5992 0.2363
Pm 0.0000 0.0000 0.5000
Pm 0.9580 0.4008 0.7637
Mg 0.5000 0.5000 0.5000
Mg 0.0000 0.0000 0.0000
S 0.6902 0.1805 0.9186
S 0.6704 0.1922 0.5697
S 0.6643 0.4376 0.2649
S 0.3357 0.5624 0.7351
S 0.3296 0.8078 0.4303
S 0.3098 0.8195 0.0814
S 0.1902 0.3195 0.4186
S 0.1704 0.3078 0.0697
S 0.1643 0.0624 0.7649
S 0.8357 0.9376 0.2351
S 0.8296 0.6922 0.9303
S 0.8098 0.6805 0.5814

- E_form (uncorrected): -1691 meV/atom
- Calculated density: 4.5 Mg/m³
- Calculated volume: 23.811 Å³/atom
- Fermi-level density of states: 15.7 states/eV/cell
- Space group: P2_1/c (14)

---

Material: CeHoGaSi
Method: DFT, PBE-GGA
State: optimized geometry

Unit cell a=5.0464 b=5.0464 c=5.0464 alpha=60.00 beta=60.00 gamma=60.00
Element x y z (fractional)
Ga 0.2500 0.2500 0.2500
Si 0.7500 0.7500 0.7500
Ho 0.5000 0.5000 0.5000
Ce 0.0000 0.0000 0.0000

- E_form (uncorrected): -484 meV/atom
- Calculated density: 7.4 Mg/m³
- Distance to the lowest polymorph of the same formula: 153.2 meV/atom
- Calculated volume: 22.717 Å³/atom
- Fermi-level density of states: 6.3 states/eV/cell
- Space group: F-43m (216)

---

Among the records above, which one has the highest Fermi-level density of states? Nd2Ho3Sc8